# 1
# La2CrBr, relaxed, DFT PBE-GGA
data_La2CrBr
_cell_length_a 3.680
_cell_length_b 3.680
_cell_length_c 8.862
_cell_angle_alpha 90.00
_cell_angle_beta 90.00
_cell_angle_gamma 90.00
_space_group_name_H-M_alt 'P 4 m m'
_space_group_IT_number 99
_space_group_name_Hall 'P 4 -2'
loop_
_atom_site_label
_atom_site_fract_x
_atom_site_fract_y
_atom_site_fract_z
La1 0.000 0.000 0.000
La2 0.500 0.500 0.329
Cr1 0.500 0.500 0.801
Br1 0.000 0.000 0.548
# - M_tot (μB per formula unit) = 3.5
# - ΔE to the lowest computed polymorph (eV per atom) = 0.306
# - energy relative to the elements, uncorrected (eV/atom) = -0.037
# - total energy (eV/atom) = -5.325



# 2
# SiHgRh4, relaxed, DFT PBE-GGA
data_SiHgRh4
_cell_length_a 7.329
_cell_length_b 7.329
_cell_length_c 7.329
_cell_angle_alpha 90.00
_cell_angle_beta 90.00
_cell_angle_gamma 90.00
_space_group_name_H-M_alt 'F -4 3 m'
_space_group_IT_number 216
_space_group_name_Hall 'F -4 2 3'
loop_
_atom_site_label
_atom_site_fract_x
_atom_site_fract_y
_atom_site_fract_z
Si1 0.000 0.000 0.000
Hg1 0.250 0.250 0.750
Rh1 0.125 0.125 0.375
# - M_tot (μB per formula unit) = 0.0
# - energy relative to the elements, uncorrected (eV/atom) = 0.392
# - total energy (eV/atom) = -5.463



# 3
# Li7Cu2Pd3, relaxed, DFT PBE-GGA
data_Li7Cu2Pd3
_cell_length_a 4.389
_cell_length_b 2.748
_cell_length_c 14.654
_cell_angle_alpha 90.00
_cell_angle_beta 97.61
_cell_angle_gamma 90.00
_space_group_name_H-M_alt 'P 1 2/m 1'
_space_group_IT_number 10
_space_group_name_Hall '-P 2y'
loop_
_atom_site_label
_atom_site_fract_x
_atom_site_fract_y
_atom_site_fract_z
Li1 0.000 0.000 0.000
Li2 0.128 0.500 0.214
Li3 0.266 0.500 0.535
Li4 0.406 0.000 0.853
Cu1 0.332 0.500 0.698
Pd1 0.196 0.000 0.369
Pd2 0.500 0.500 0.000
# - M_tot (μB per formula unit) = 0.0
# - ΔE_f (meV/atom) = -201
# - total energy (eV/atom) = -3.299



# 4
# TlFe2Ag, relaxed, DFT PBE-GGA
data_TlFe2Ag
_cell_length_a 3.970
_cell_length_b 3.970
_cell_length_c 8.300
_cell_angle_alpha 90.00
_cell_angle_beta 90.00
_cell_angle_gamma 90.00
_space_group_name_H-M_alt 'I 4/m m m'
_space_group_IT_number 139
_space_group_name_Hall '-I 4 2'
loop_
_atom_site_label
_atom_site_fract_x
_atom_site_fract_y
_atom_site_fract_z
Tl1 0.000 0.000 0.000
Fe1 0.000 0.500 0.250
Ag1 0.000 0.000 0.500
# - M_tot (μB per formula unit) = 5.3
# - ΔE to the lowest computed polymorph (eV per atom) = 0.141
# - ΔE_f (meV/atom) = 500
# - total energy (eV/atom) = -5.036



# 5
# BeNb2Cu2, relaxed, DFT PBE-GGA
data_BeNb2Cu2
_cell_length_a 3.107
_cell_length_b 3.107
_cell_length_c 15.549
_cell_angle_alpha 90.00
_cell_angle_beta 90.00
_cell_angle_gamma 90.00
_space_group_name_H-M_alt 'I 4/m m m'
_space_group_IT_number 139
_space_group_name_Hall '-I 4 2'
loop_
_atom_site_label
_atom_site_fract_x
_atom_site_fract_y
_atom_site_fract_z
Be1 0.000 0.000 0.000
Nb1 0.000 0.000 0.401
Cu1 0.000 0.500 0.250
# - M_tot (μB per formula unit) = 0.0
# - ΔE to the lowest computed polymorph (eV per atom) = 0.279
# - ΔE_f (meV/atom) = 465
# - total energy (eV/atom) = -5.947



# 6
# MgAlNi3, relaxed, DFT PBE-GGA
data_MgAlNi3
_cell_length_a 4.924
_cell_length_b 6.605
_cell_length_c 8.384
_cell_angle_alpha 90.00
_cell_angle_beta 90.00
_cell_angle_gamma 90.00
_space_group_name_H-M_alt 'I m m a'
_space_group_IT_number 74
_space_group_name_Hall '-I 2b 2'
loop_
_atom_site_label
_atom_site_fract_x
_atom_site_fract_y
_atom_site_fract_z
Mg1 0.000 0.250 0.001
Al1 0.000 0.000 0.500
Ni1 0.000 0.250 0.301
Ni2 0.250 0.064 0.750
# - M_tot (μB per formula unit) = 0.0
# - ΔE to the lowest computed polymorph (eV per atom) = 0.000
# - ΔE_f (meV/atom) = -198
# - total energy (eV/atom) = -4.735